1 | Entry from Alexandria via LeMat-Bulk: a relaxed structure of Sc3SnSb (PBE).

Results
Crystal system = cubic
Volume = 147.2 Å³/f.u.

Cell lengths 5.280, 5.280, 5.280 Å; angles 90.00, 90.00, 90.00 degrees
Fractional coordinates of all 5 atoms:
Sc 0.000 0.000 0.500
Sc 0.000 0.500 0.000
Sc 0.500 0.000 0.000
Sn 0.500 0.500 0.500
Sb 0.000 0.000 0.000



2 | Entry from Alexandria via LeMat-Bulk: a relaxed structure of Sc3SnSb (PBE).

Results
Crystal system = triclinic
Volume = 119.7 Å³/f.u.

Cell lengths 5.914, 5.944, 7.461 Å; angles 73.81, 74.07, 77.54 degrees
Fractional coordinates of all 10 atoms:
Sc 0.098 0.198 0.042
Sc 0.198 0.094 0.537
Sc 0.365 0.644 0.249
Sc 0.635 0.356 0.751
Sc 0.802 0.906 0.463
Sc 0.902 0.802 0.958
Sn 0.139 0.544 0.663
Sn 0.861 0.456 0.337
Sb 0.447 0.852 0.834
Sb 0.553 0.148 0.166



Result of the stability comparison: 1 is the least stable of them.



1 | Entry from Alexandria via LeMat-Bulk: a relaxed structure of ScSnSb2Te (PBE).

Results
Crystal system = tetragonal
Volume = 166.7 Å³/f.u.

Cell lengths 5.491, 5.491, 5.529 Å; angles 90.00, 90.00, 90.00 degrees
Fractional coordinates of all 5 atoms:
Sc 0.000 0.000 0.000
Sn 0.500 0.500 0.500
Sb 0.000 0.500 0.000
Sb 0.500 0.000 0.000
Te 0.000 0.000 0.500



2 | Entry from Alexandria via LeMat-Bulk: a relaxed structure of ScSnSb2Te (PBE).

Results
Crystal system = tetragonal
Volume = 174.1 Å³/f.u.

Cell lengths 5.558, 5.558, 5.635 Å; angles 90.00, 90.00, 90.00 degrees
Fractional coordinates of all 5 atoms:
Sc 0.000 0.000 0.000
Sn 0.500 0.500 0.500
Sb 0.000 0.500 0.500
Sb 0.500 0.000 0.500
Te 0.500 0.500 0.000



Result of the stability comparison: 2 is the least stable of them.



1 | Entry from Alexandria via LeMat-Bulk: a relaxed structure of SrSc3Sb (PBE).

Results
Crystal system = cubic
Volume = 169.2 Å³/f.u.

Cell lengths 5.531, 5.531, 5.531 Å; angles 90.00, 90.00, 90.00 degrees
Fractional coordinates of all 5 atoms:
Sr 0.000 0.000 0.000
Sc 0.000 0.500 0.500
Sc 0.500 0.000 0.500
Sc 0.500 0.500 0.000
Sb 0.500 0.500 0.500



2 | Entry from Alexandria via LeMat-Bulk: a relaxed structure of SrSc3Sb (PBE).

Results
Crystal system = cubic
Volume = 144.1 Å³/f.u.

Cell lengths 5.242, 5.242, 5.242 Å; angles 90.00, 90.00, 90.00 degrees
Fractional coordinates of all 5 atoms:
Sr 0.000 0.000 0.000
Sc 0.000 0.000 0.500
Sc 0.000 0.500 0.000
Sc 0.500 0.000 0.000
Sb 0.500 0.500 0.500



Result of the stability comparison: 2 is the least stable of them.



1 | Entry from Alexandria via LeMat-Bulk: a relaxed structure of SrScSb2Te (PBE).

Results
Crystal system = tetragonal
Volume = 170.9 Å³/f.u.

Cell lengths 5.506, 5.506, 5.637 Å; angles 90.00, 90.00, 90.00 degrees
Fractional coordinates of all 5 atoms:
Sr 0.000 0.000 0.000
Sc 0.500 0.500 0.500
Sb 0.000 0.500 0.500
Sb 0.500 0.000 0.500
Te 0.500 0.500 0.000



2 | Entry from Alexandria via LeMat-Bulk: a relaxed structure of SrScSb2Te (PBE).

Results
Crystal system = tetragonal
Volume = 201.9 Å³/f.u.

Cell lengths 5.844, 5.844, 5.911 Å; angles 90.00, 90.00, 90.00 degrees
Fractional coordinates of all 5 atoms:
Sr 0.000 0.000 0.000
Sc 0.500 0.500 0.500
Sb 0.000 0.500 0.000
Sb 0.500 0.000 0.000
Te 0.000 0.000 0.500



Result of the stability comparison: 2 is the least stable of them.



1 | Entry from Alexandria via LeMat-Bulk: a relaxed structure of ScTaSb2 (PBE).

Results
Crystal system = orthorhombic
Volume = 86.6 Å³/f.u.

Cell lengths 5.753, 5.753, 5.753 Å; angles 142.01, 131.60, 63.12 degrees
Fractional coordinates of all 4 atoms:
Sc 0.000 0.000 0.000
Ta 0.259 0.759 0.500
Sb 0.485 0.485 0.000
Sb 0.760 0.260 0.500



2 | Entry from Alexandria via LeMat-Bulk: a relaxed structure of ScTaSb2 (PBE).

Results
Crystal system = tetragonal
Volume = 100.5 Å³/f.u.

Cell lengths 3.072, 3.072, 10.650 Å; angles 90.00, 90.00, 90.00 degrees
Fractional coordinates of all 4 atoms:
Sc 0.000 0.000 0.000
Ta 0.500 0.500 0.208
Sb 0.000 0.000 0.414
Sb 0.500 0.500 0.781



Result of the stability comparison: 2 is the least stable of them.



1 | Entry from Alexandria via LeMat-Bulk: a relaxed structure of ScTaSb2 (PBE).

Results
Crystal system = trigonal
Volume = 94.8 Å³/f.u.

Cell lengths 7.129, 7.129, 7.129 Å; angles 32.84, 32.84, 32.84 degrees
Fractional coordinates of all 4 atoms:
Sc 0.000 0.000 0.000
Ta 0.500 0.500 0.500
Sb 0.247 0.247 0.247
Sb 0.753 0.753 0.753



2 | Entry from Alexandria via LeMat-Bulk: a relaxed structure of ScTaSb2 (PBE).

Results
Crystal system = orthorhombic
Volume = 100.2 Å³/f.u.

Cell lengths 3.086, 3.086, 10.731 Å; angles 90.00, 90.00, 101.34 degrees
Fractional coordinates of all 4 atoms:
Sc 0.000 0.000 0.000
Ta 0.500 0.500 0.790
Sb 0.000 0.000 0.587
Sb 0.500 0.500 0.221



3 | Entry from Alexandria via LeMat-Bulk: a relaxed structure of ScTaSb2 (PBE).

Results
Crystal system = trigonal
Volume = 98.4 Å³/f.u.

Cell lengths 11.072, 11.072, 11.072 Å; angles 16.76, 16.76, 16.76 degrees
Fractional coordinates of all 4 atoms:
Sc 0.000 0.000 0.000
Ta 0.261 0.261 0.261
Sb 0.522 0.522 0.522
Sb 0.742 0.742 0.742



4 | Entry from Alexandria via LeMat-Bulk: a relaxed structure of ScTaSb2 (PBE).

Results
Crystal system = monoclinic
Volume = 90.6 Å³/f.u.

Cell lengths 3.244, 5.263, 5.548 Å; angles 90.00, 107.00, 90.00 degrees
Fractional coordinates of all 4 atoms:
Sc 0.000 0.000 0.000
Ta 0.644 0.500 0.292
Sb 0.386 0.500 0.770
Sb 0.730 0.000 0.456



Result of the stability comparison: 3 is the least stable of them.